Record 1
Density functional theory data (PBE-GGA) for a relaxed LiSbOs2 crystal.

* calculated total energy: -6.389 eV/atom
* V: 198.8 Å³ per cell

Structure (CIF):
```
data_LiSbOs2
_chemical_formula_sum 'Li3 Sb3 Os6'
_cell_length_a 3.0183
_cell_length_b 3.0183
_cell_length_c 25.1994
_cell_angle_alpha 90.00
_cell_angle_beta 90.00
_cell_angle_gamma 120.00
_symmetry_space_group_name_H-M 'R -3 m'
_symmetry_Int_Tables_number 166
_symmetry_space_group_name_Hall '-R 3 2"'
loop_
_atom_site_label
_atom_site_fract_x
_atom_site_fract_y
_atom_site_fract_z
_atom_site_occupancy
Li1 0.0000 0.0000 0.0000 1
Sb1 0.0000 0.0000 0.5000 1
Os1 0.0000 0.0000 0.2462 1
```

=====

Record 2
Density functional theory data (PBE-GGA) for a relaxed LiSb3Os crystal.

* V: 141.7 Å³ per cell
* polymorph energy (0 for the lowest one): 0.000 eV per atom

Structure (CIF):
```
data_LiSb3Os
_chemical_formula_sum 'Li1 Sb3 Os1'
_cell_length_a 5.214
_cell_length_b 5.214
_cell_length_c 5.214
_cell_angle_alpha 90.00
_cell_angle_beta 90.00
_cell_angle_gamma 90.00
_symmetry_space_group_name_H-M 'P m -3 m'
_symmetry_Int_Tables_number 221
_symmetry_space_group_name_Hall '-P 4 2 3'
loop_
_atom_site_label
_atom_site_fract_x
_atom_site_fract_y
_atom_site_fract_z
_atom_site_occupancy
Li1 0.000 0.000 0.000 1
Sb1 0.000 0.500 0.500 1
Os1 0.500 0.500 0.500 1
```

=====

Record 3
Density functional theory data (PBE-GGA) for a relaxed Li2SbOs crystal.

* calculated total energy: -4.567 eV/atom
* V: 62.4 Å³ per cell

Structure (CIF):
```
data_Li2SbOs
_chemical_formula_sum 'Li2 Sb1 Os1'
_cell_length_a 3.436
_cell_length_b 3.436
_cell_length_c 5.284
_cell_angle_alpha 90.00
_cell_angle_beta 90.00
_cell_angle_gamma 90.00
_symmetry_space_group_name_H-M 'P 4/m m m'
_symmetry_Int_Tables_number 123
_symmetry_space_group_name_Hall '-P 4 2'
loop_
_atom_site_label
_atom_site_fract_x
_atom_site_fract_y
_atom_site_fract_z
_atom_site_occupancy
Li1 0.000 0.000 0.222 1
Sb1 0.500 0.500 0.500 1
Os1 0.500 0.500 0.000 1
```